A plane-wave DFT calculation with GGA-PBE was carried out for an optimized crystal structure of TiNbTl2O6.

Computed properties:
E_form (uncorrected) ... -1920 meV/atom

extended XYZ file:
```
20
Lattice="2.9687 1.7140 9.5724 -2.9687 1.7140 9.5724 0.0000 -3.4279 9.5724" Properties=species:S:1:pos:R:3 pbc="T T T"
Ti 0.0000 0.0000 0.0000
Ti 0.0000 0.0000 14.3587
Nb 0.0000 0.0000 2.8868
Nb 0.0000 0.0000 25.8305
Tl 0.0000 0.0000 6.8854
Tl 0.0000 0.0000 10.6248
Tl 0.0000 0.0000 18.0925
Tl 0.0000 0.0000 21.8319
O 0.0000 -1.9526 8.2623
O -1.6910 0.9763 8.2623
O -1.4466 -0.8352 15.4553
O 0.0000 -1.6704 13.2620
O -1.4466 0.8352 13.2620
O -1.6910 -0.9763 20.4550
O 1.6910 0.9763 8.2623
O 1.4466 -0.8352 15.4553
O 0.0000 1.6704 15.4553
O 1.4466 0.8352 13.2620
O 1.6910 -0.9763 20.4550
O 0.0000 1.9526 20.4550
```

A plane-wave DFT calculation with GGA-PBE was carried out for an optimized crystal structure of LiScCu2.

Computed properties:
ΔE_f ... -0.06 eV/atom

extended XYZ file:
```
4
Lattice="3.1428 -3.1599 0.0000 3.1428 3.1599 0.0000 0.0000 0.0000 3.1751" Properties=species:S:1:pos:R:3 pbc="T T T"
Li 0.0000 0.0000 0.0000
Sc 3.1428 0.0000 0.0000
Cu 1.5714 1.5799 1.5876
Cu 1.5714 -1.5799 1.5876
```

A plane-wave DFT calculation with GGA-PBE was carried out for an optimized crystal structure of RbYSi.

Computed properties:
Relative energy among the computed polymorphs ... 0.597 eV/atom
E_form (uncorrected) ... 306 meV/atom

extended XYZ file:
```
3
Lattice="0.0000 3.7323 3.7323 3.7323 0.0000 3.7323 3.7323 3.7323 0.0000" Properties=species:S:1:pos:R:3 pbc="T T T"
Rb 0.0000 0.0000 0.0000
Y 3.7323 3.7323 3.7323
Si 5.5985 5.5985 5.5985
```